(1)
Below is a relaxed HfTi2Pt crystal, with properties calculated at the PBE level.

Properties
Total magnetic moment   0.000 μB/atom
ΔE_f   -0.745 eV per formula unit

Cell: 7.4575 7.4575 5.4976 Å, 90.00 90.00 90.00°
Last column: nearest neighbours and their distance in Å.
Space group I-42d (No. 122)
Asymmetric unit:
Hf 0.0000 0.0000 0.0000 (multiplicity 4)  2 Pt 2.75, 4 Ti 2.93
Ti 0.2104 0.2500 0.6250 (multiplicity 8)  2 Pt 2.53, 2 Ti 2.81
Pt 0.0000 0.0000 0.5000 (multiplicity 4)  4 Ti 2.53, 2 Hf 2.75

---

(2)
Below is a relaxed Hf2TiPt crystal, with properties calculated at the PBE level.

Properties
Total magnetic moment   0.496 μB/atom
ΔE_f   -1.795 eV per formula unit

Cell: 6.6667 6.6667 6.6667 Å, 90.00 90.00 90.00°
Last column: nearest neighbours and their distance in Å.
Space group Fm-3m (No. 225)
Asymmetric unit:
Hf 0.2500 0.2500 0.2500 (multiplicity 8)  4 Pt 2.89, 4 Ti 2.89
Ti 0.0000 0.0000 0.0000 (multiplicity 4)  8 Hf 2.89
Pt 0.0000 0.0000 0.5000 (multiplicity 4)  8 Hf 2.89

---

(3)
Below is a relaxed Hf2TiPt crystal, with properties calculated at the PBE level.

Properties
Total magnetic moment   0.385 μB/atom
ΔE_f   -1.999 eV per formula unit

Cell: 4.6150 4.6150 3.4988 Å, 90.00 90.00 90.00°
Last column: nearest neighbours and their distance in Å.
Space group P4/mmm (No. 123)
Asymmetric unit:
Hf 0.0000 0.5000 0.0000 (multiplicity 2)  4 Pt 2.90, 4 Ti 2.90
Ti 0.0000 0.0000 0.5000 (multiplicity 1)  8 Hf 2.90
Pt 0.5000 0.5000 0.5000 (multiplicity 1)  8 Hf 2.90